An optimized crystal structure of DySi2Au6, computed with GGA-PBE.

Calculated values
Volume (Å³/cell): 166.86
ΔE_f (raw) (kJ/mol of atoms): -31.7
Density (g/cm3): 13.937
Symmetry: P4/mmm (123)
Electronic total energy (eV per cell): -38.1

Geometry as CIF:
```
data_DySi2Au6
_cell_length_a 4.377
_cell_length_b 4.377
_cell_length_c 8.708
_cell_angle_alpha 90.00
_cell_angle_beta 90.00
_cell_angle_gamma 90.00
_space_group_name_H-M_alt 'P 1'
_space_group_IT_number 1
_space_group_name_Hall 'P 1'
loop_
_atom_site_label
_atom_site_fract_x
_atom_site_fract_y
_atom_site_fract_z
_atom_site_occupancy
Dy1 0.000 0.000 0.000 1
Si1 0.500 0.500 0.133 1
Si2 0.500 0.500 0.867 1
Au1 0.000 0.500 0.268 1
Au2 0.500 0.000 0.268 1
Au3 0.000 0.500 0.732 1
Au4 0.500 0.000 0.732 1
Au5 0.500 0.500 0.500 1
Au6 0.000 0.000 0.500 1
```